HfZr2I: relaxed, PBE.

## Properties
ΔE_f (raw) in eV per atom: 0.450
Total moment in μB per formula unit: 0.0
V in A^3/atom: 24.424
Calculated total energy in eV/atom: -6.70
Energy relative to the lowest polymorph listed for this composition in meV per atom: 36.3

abc: 4.3162 4.3162 20.9760
angles: 90.00 90.00 90.00
With the nearest neighbours (Å) after each atom.
Space group I-42d (No. 122)
Asymmetric unit:
1 Hf 0.0000 0.0000 0.0000 x4  4 Zr 3.04, 4 I 3.05
2 Zr 0.2475 0.2500 0.6250 x8  2 I 3.03, 4 Zr 3.04-3.07, 2 Hf 3.04
3 I 0.0000 0.0000 0.5000 x4  4 Zr 3.03, 4 Hf 3.05

---

SmHg2Bi: relaxed, PBE.

## Properties
Formation energy from the elements in eV/atom: 0.096
Total moment in μB per formula unit: 0.0
V in A^3/atom: 30.836
Calculated total energy in eV/atom: -2.21

abc: 3.4818 3.4818 35.2450
angles: 90.00 90.00 120.00
With the nearest neighbours (Å) after each atom.
Space group R-3m (No. 166, hexagonal axes)
Asymmetric unit:
1 Sm 0.0000 0.0000 0.0000 x3  2 Hg 3.08
2 Hg 0.0000 0.0000 0.0875 x6  1 Sm 3.08, 3 Bi 3.44
3 Bi 0.0000 0.0000 0.5000 x3  6 Hg 3.44, 6 Bi 3.48

---

BaTaFe3: relaxed, PBE.

## Properties
Formation energy from the elements in eV/atom: 2.744
Total moment in μB per formula unit: 0.0
V in A^3/atom: 19.146
Calculated total energy in eV/atom: -5.09
Energy relative to the lowest polymorph listed for this composition in meV per atom: 1717.8

abc: 4.5746 4.5746 4.5746
angles: 90.00 90.00 90.00
With the nearest neighbours (Å) after each atom.
Space group Pm-3m (No. 221)
Asymmetric unit:
1 Ba 0.0000 0.0000 0.0000 x1  6 Fe 2.29
2 Ta 0.5000 0.5000 0.5000 x1  12 Fe 3.23
3 Fe 0.0000 0.0000 0.5000 x3  2 Ba 2.29

---

Rb3Hg4Au4: relaxed, PBE.

## Properties
Formation energy from the elements in eV/atom: -0.211
Total moment in μB per formula unit: 0.0
V in A^3/atom: 31.939
Calculated total energy in eV/atom: -1.78

abc: 8.8903 8.8903 8.8903
angles: 90.00 90.00 90.00
With the nearest neighbours (Å) after each atom.
Space group I-43m (No. 217)
Asymmetric unit:
1 Rb 0.0000 0.0000 0.5000 x6  4 Au 3.64, 4 Hg 3.67
2 Hg 0.1333 0.1333 0.8667 x8  4 Au 2.76-2.93
3 Au 0.1876 0.1876 0.1876 x8  4 Hg 2.76-2.93

---

MgTaTc2: relaxed, PBE.

## Properties
Formation energy from the elements in eV/atom: 0.095
Total moment in μB per formula unit: 0.0
V in A^3/atom: 16.176
Calculated total energy in eV/atom: -8.45

abc: 3.1805 4.6679 8.7165
angles: 90.00 90.00 90.00
With the nearest neighbours (Å) after each atom.
Space group Immm (No. 71)
Asymmetric unit:
1 Mg 0.0000 0.0000 0.0000 x2  4 Tc 2.77, 4 Ta 2.82
2 Ta 0.0000 0.0000 0.5000 x2  4 Tc 2.62, 4 Mg 2.82
3 Tc 0.0000 0.5000 0.2392 x4  2 Ta 2.62, 2 Mg 2.77, 4 Tc 2.83

---

Er3Tm5P8: relaxed, PBE.

## Properties
Formation energy from the elements in eV/atom: -1.609
Total moment in μB per formula unit: 0.0
V in A^3/atom: 21.868
Calculated total energy in eV/atom: -6.57

abc: 7.9093 7.9093 19.3748
angles: 90.00 90.00 120.00
With the nearest neighbours (Å) after each atom.
Space group R-3m (No. 166, hexagonal axes)
Asymmetric unit:
1 Er 0.0000 0.5000 0.0000 x9  6 P 2.80
2 Tm 0.0000 0.0000 0.0000 x3  6 P 2.80
3 Tm 0.0000 0.0000 0.5000 x3  6 P 2.80
4 Tm 0.0000 0.5000 0.5000 x9  6 P 2.79
5 P 0.0000 0.0000 0.2496 x6  3 Tm 2.79, 3 Er 2.80
6 P 0.0006 0.5003 0.7503 x18  4 Tm 2.79-2.80, 2 Er 2.80

---

ThGaIr3: relaxed, PBE.

## Properties
Formation energy from the elements in eV/atom: -0.555
Total moment in μB per formula unit: 0.0
V in A^3/atom: 18.695
Calculated total energy in eV/atom: -7.96

abc: 5.5360 7.6748 8.8002
angles: 90.00 90.00 90.00
With the nearest neighbours (Å) after each atom.
Space group Imma (No. 74)
Asymmetric unit:
1 Th 0.0000 0.2500 0.0140 x4  5 Ir 2.77-2.94
2 Ga 0.0000 0.0000 0.5000 x4  6 Ir 2.60-2.63
3 Ir 0.0000 0.2500 0.6994 x4  2 Ga 2.60, 6 Ir 2.71-2.91, 1 Th 2.77
4 Ir 0.2500 0.0480 0.2500 x8  2 Ga 2.63, 4 Ir 2.71-2.77, 2 Th 2.94

---

Ac2Be2Pt5: relaxed, PBE.

## Properties
Formation energy from the elements in eV/atom: -0.832
Total moment in μB per formula unit: 0.0
V in A^3/atom: 19.769
Calculated total energy in eV/atom: -5.93

abc: 4.4476 4.4476 8.9948
angles: 90.00 90.00 90.00
With the nearest neighbours (Å) after each atom.
Space group P4/mmm (No. 123)
Asymmetric unit:
1 Ac 0.0000 0.0000 0.0000 x1  8 Pt 3.21
2 Ac 0.0000 0.0000 0.5000 x1  12 Pt 3.12-3.14
3 Be 0.5000 0.5000 0.2113 x2  4 Pt 2.26
4 Pt 0.0000 0.5000 0.2569 x4  2 Be 2.26
5 Pt 0.5000 0.5000 0.5000 x1  2 Be 2.60

---

LiCeCdPb: relaxed, PBE.

## Properties
Formation energy from the elements in eV/atom: -0.299
Total moment in μB per formula unit: 0.9
V in A^3/atom: 25.718
Calculated total energy in eV/atom: -3.42

abc: 7.4380 7.4380 7.4380
angles: 90.00 90.00 90.00
With the nearest neighbours (Å) after each atom.
Space group F-43m (No. 216)
Asymmetric unit:
1 Li 0.0000 0.0000 0.0000 x4  4 Pb 3.22, 4 Cd 3.22
2 Ce 0.0000 0.0000 0.5000 x4  4 Cd 3.22, 4 Pb 3.22
3 Cd 0.2500 0.2500 0.7500 x4  4 Ce 3.22, 4 Li 3.22
4 Pb 0.2500 0.2500 0.2500 x4  4 Ce 3.22, 4 Li 3.22

---

CaIn3: relaxed, PBE.

## Properties
Formation energy from the elements in eV/atom: -0.244
Total moment in μB per formula unit: 0.0
V in A^3/atom: 27.485
Calculated total energy in eV/atom: -2.80

abc: 10.2763 8.7451 4.8935
angles: 90.00 90.00 90.00
With the nearest neighbours (Å) after each atom.
Space group Cmcm (No. 63)
Asymmetric unit:
1 Ca 0.0000 0.1611 0.2500 x4  10 In 3.24-3.42
2 In 0.0000 0.4047 0.7500 x4  2 In 2.96, 2 Ca 3.24
3 In 0.2260 0.1260 0.7500 x8  6 In 3.29-3.42, 4 Ca 3.38-3.42

---

InHgSb2: relaxed, PBE.

## Properties
ΔE_f (raw) in eV per atom: 0.130
Total moment in μB per formula unit: 0.0
V in A^3/atom: 29.328
Calculated total energy in eV/atom: -2.69
Energy relative to the lowest polymorph listed for this composition in meV per atom: 87.4

abc: 4.5226 4.5226 19.8682
angles: 90.00 90.00 120.00
With the nearest neighbours (Å) after each atom.
Space group R3m (No. 160, hexagonal axes)
Asymmetric unit:
1 In 0.0000 0.0000 0.0000 x3  6 Sb 3.08, 1 Hg 3.39
2 Hg 0.0000 0.0000 0.8295 x3  6 Sb 3.06-3.14, 1 In 3.39
3 Sb 0.0000 0.0000 0.4158 x3  3 Hg 3.06, 3 In 3.08, 1 Sb 3.34
4 Sb 0.0000 0.0000 0.5842 x3  3 In 3.08, 3 Hg 3.14, 1 Sb 3.34

---

FeP2Br: relaxed, PBE.

## Properties
ΔE_f (raw) in eV per atom: 0.535
Total moment in μB per formula unit: 0.6
V in A^3/atom: 16.465
Calculated total energy in eV/atom: -4.70
Energy relative to the lowest polymorph listed for this composition in meV per atom: 628.2

abc: 2.8140 4.6285 10.1134
angles: 90.00 90.00 90.00
With the nearest neighbours (Å) after each atom.
Space group Immm (No. 71)
Asymmetric unit:
1 Fe 0.0000 0.0000 0.0000 x2  4 P 2.32
2 P 0.0000 0.5000 0.3175 x4  2 Fe 2.32
3 Br 0.0000 0.0000 0.5000 x2  4 Fe 2.71, 2 Br 2.81, 4 P 2.96